Compound: LaErCu10
Source: the Alexandria database
Functional: PBE-GGA
Structure: relaxed

Cell and atoms, written as POSCAR:
```
LaErCu10
1.0
4.1167 0.0000 0.0000
0.0000 5.0794 0.0000
0.0000 0.0000 8.7571
La Er Cu
1 1 10
Direct
0.0000 0.5000 0.5000
0.0000 0.0000 0.0000
0.0000 0.0000 0.3264
0.0000 0.5000 0.8394
0.0000 0.5000 0.1606
0.0000 0.0000 0.6736
0.5000 0.0000 0.5000
0.5000 0.5000 0.0000
0.5000 0.2462 0.2435
0.5000 0.7538 0.7565
0.5000 0.7538 0.2435
0.5000 0.2462 0.7565
```

Computed properties:
density of states at the Fermi level = 6.37 states/eV per cell
E_tot = -4.3807 eV/atom
ΔH_f (0 K) = -0.176 eV/atom



Compound: Pm4GeSeBr2
Source: the Alexandria database
Functional: PBE-GGA
Structure: relaxed

Cell and atoms, written as POSCAR:
```
Pm4GeSeBr2
1.0
4.2930 0.0000 0.0000
0.0000 7.3236 0.0888
0.0000 -2.5989 7.1065
Pm Ge Se Br
4 1 1 2
Direct
0.5000 0.2407 0.2096
0.5000 0.7593 0.7904
0.0000 0.2670 0.7886
0.0000 0.7330 0.2114
0.5000 0.5000 0.0000
0.0000 0.0000 0.0000
0.5000 0.0000 0.5000
0.0000 0.5000 0.5000
```

Computed properties:
density of states at the Fermi level = 3.74 states/eV per cell
E_tot = -5.1289 eV/atom
formation energy (no corrections) = -10.581 eV per formula unit



Compound: Mn2BeCu
Source: the Alexandria database
Functional: PBE-GGA
Structure: relaxed

Cell and atoms, written as POSCAR:
```
Mn2BeCu
1.0
-1.8860 0.0178 3.7274
-2.8994 -2.9849 -0.3674
4.0892 -0.2684 -0.8109
Be Mn Cu
1 2 1
Direct
0.4999 0.4999 0.0000
0.0000 0.0000 0.0000
0.7500 0.2500 0.5000
0.2502 0.7502 0.5000
```

Computed properties:
density of states at the Fermi level = 2.05 states/eV per cell
E_tot = -6.4790 eV/atom
ΔH_f (0 K) = 0.061 eV/atom



- Which formula does entry 3 have?
  Mn2BeCu